[1]
12
Lattice="1.687 -7.617 0.000 1.687 7.617 0.000 0.000 0.000 10.828" Properties=species:S:1:pos:R:3 comment="NaSiAgTeS2, optimized geometry, DFT PBE" space_group="No. 63" dft_energy_ev_per_atom=-3.780 pbc="T T T"
Na 1.687 4.160 8.121
Na 1.687 -4.160 2.707
Si 1.687 0.000 0.000
Si 1.687 0.000 5.414
Ag 1.687 5.959 2.707
Ag 1.687 -5.959 8.121
Te 1.687 0.867 2.707
Te 1.687 -0.867 8.121
S 1.687 5.967 0.303
S 1.687 5.967 5.111
S 1.687 -5.967 5.717
S 1.687 -5.967 10.525

[2]
12
Lattice="2.056 -6.319 0.000 2.056 6.319 0.000 0.000 0.000 11.071" Properties=species:S:1:pos:R:3 comment="NaSiAgTe2S, optimized geometry, DFT PBE" space_group="No. 63" dft_energy_ev_per_atom=-3.492 pbc="T T T"
Na 2.056 3.666 8.303
Na 2.056 -3.666 2.768
Si 2.056 0.000 0.000
Si 2.056 0.000 5.535
Ag 2.056 5.373 2.768
Ag 2.056 -5.373 8.303
Te 2.056 4.424 0.219
Te 2.056 4.424 5.316
Te 2.056 -4.424 5.755
Te 2.056 -4.424 10.852
S 2.056 0.572 2.768
S 2.056 -0.572 8.303

[3]
12
Lattice="8.370 -1.856 0.000 8.370 1.856 0.000 -2.273 0.000 8.424" Properties=species:S:1:pos:R:3 comment="NaAgSnS3, optimized geometry, DFT PBE" space_group="No. 12" dft_energy_ev_per_atom=-3.872 polymorph_energy_mev_per_atom=59 pbc="T T T"
Na 2.028 0.000 0.534
Na 12.438 0.000 7.890
Ag 7.589 0.000 2.335
Ag 6.877 0.000 6.089
Sn 1.546 0.000 4.954
Sn 12.920 0.000 3.470
S -1.137 0.000 4.212
S 4.844 0.000 1.715
S 4.123 0.000 5.326
S 8.370 0.000 0.000
S 10.343 0.000 3.097
S 9.622 0.000 6.709

[4]
24
Lattice="13.311 0.000 0.000 0.000 3.857 0.000 0.000 0.000 10.833" Properties=species:S:1:pos:R:3 comment="NaAgSnS3, optimized geometry, DFT PBE" space_group="No. 62" dft_energy_ev_per_atom=-3.901 polymorph_energy_mev_per_atom=30 pbc="T T T"
Na 3.053 0.964 0.444
Na 3.603 2.893 5.860
Na 9.708 0.964 4.973
Na 10.258 2.893 10.390
Ag 0.587 2.893 10.061
Ag 6.069 0.964 4.644
Ag 7.242 2.893 6.189
Ag 12.724 0.964 0.772
Sn 0.090 0.964 7.106
Sn 6.566 2.893 1.690
Sn 6.745 0.964 9.144
Sn 13.221 2.893 3.727
S 1.352 2.893 1.627
S 1.411 0.964 4.842
S 1.659 2.893 7.869
S 4.996 0.964 2.452
S 5.244 2.893 10.258
S 5.303 0.964 7.043
S 8.008 2.893 3.790
S 8.067 0.964 0.575
S 8.315 2.893 8.381
S 11.652 0.964 2.965
S 11.899 2.893 5.991
S 11.958 0.964 9.207

[5]
12
Lattice="1.898 -6.724 0.000 1.898 6.724 0.000 0.000 0.000 10.473" Properties=species:S:1:pos:R:3 comment="NaAgSnS3, optimized geometry, DFT PBE" space_group="No. 63" dft_energy_ev_per_atom=-3.852 polymorph_energy_mev_per_atom=79 pbc="T T T"
Na 1.898 4.071 7.855
Na 1.898 -4.071 2.618
Ag 1.898 5.278 2.618
Ag 1.898 -5.278 7.855
Sn 1.898 0.000 0.000
Sn 1.898 0.000 5.237
S 1.898 4.935 0.217
S 1.898 4.935 5.019
S 1.898 0.613 2.618
S 1.898 -0.613 7.855
S 1.898 -4.935 5.454
S 1.898 -4.935 10.256

[6]
24
Lattice="13.648 0.000 0.000 0.000 3.921 0.000 0.000 0.000 9.920" Properties=species:S:1:pos:R:3 comment="NaAgSnS3, optimized geometry, DFT PBE" space_group="No. 62" dft_energy_ev_per_atom=-3.930 polymorph_energy_mev_per_atom=1 pbc="T T T"
Na 1.650 0.980 0.024
Na 5.174 2.940 4.984
Na 8.474 0.980 4.936
Na 11.998 2.940 9.896
Ag 3.025 2.940 7.544
Ag 3.799 0.980 2.584
Ag 9.849 2.940 7.336
Ag 10.623 0.980 2.376
Sn 0.428 2.940 3.374
Sn 6.396 0.980 8.334
Sn 7.252 2.940 1.586
Sn 13.220 0.980 6.546
S 0.641 2.940 8.008
S 1.493 0.980 4.850
S 2.409 2.940 1.890
S 4.415 0.980 6.850
S 5.331 2.940 9.810
S 6.183 0.980 3.048
S 7.465 2.940 6.872
S 8.317 0.980 0.110
S 9.233 2.940 3.070
S 11.239 0.980 8.030
S 12.155 2.940 5.070
S 13.007 0.980 1.912